Density functional theory data (GGA-PBEsol) for an optimized crystal structure of LiSeF2.

extended XYZ file:
```
16
Lattice="5.991 0.000 0.000 0.000 5.991 0.000 0.000 0.000 5.991" Properties=species:S:1:pos:R:3 pbc="T T T"
Li 0.000 0.000 0.000
Li 0.000 2.995 2.995
Li 2.995 0.000 2.995
Li 2.995 2.995 0.000
Se 0.000 0.000 2.995
Se 0.000 2.995 0.000
Se 2.995 0.000 0.000
Se 2.995 2.995 2.995
F 1.498 1.498 1.498
F 1.498 1.498 4.493
F 1.498 4.493 1.498
F 1.498 4.493 4.493
F 4.493 1.498 1.498
F 4.493 1.498 4.493
F 4.493 4.493 1.498
F 4.493 4.493 4.493
```

Values from the calculation:
- Mass density: 3.8 g/cm³
- Energy relative to the lowest polymorph listed for this composition: 458 meV/atom
- Raw formation energy: -0.957 eV per atom